1.
Crystalline Zn2BPb at its relaxed geometry. Source: the Alexandria database, functional PBE.

Cell lengths 7.650, 7.650, 7.650 Å; angles 143.42, 143.42, 52.69 degrees
Fractional coordinates of all 8 atoms:
Zn 0.375 0.075 0.200
Zn 0.825 0.625 0.700
Zn 0.875 0.175 0.800
Zn 0.925 0.125 0.300
B 0.000 0.000 0.000
B 0.750 0.250 0.500
Pb 0.250 0.750 0.500
Pb 0.500 0.500 0.000

Properties
Its total energy is -2.6955 eV/atom. The calculation puts the offset from the most stable computed form at 0.0 meV per atom.

2.
Crystalline ZnB2Pb at its relaxed geometry. Source: the Alexandria database, functional PBE.

Cell lengths 4.440, 4.440, 4.440 Å; angles 60.00, 60.00, 60.00 degrees
Fractional coordinates of all 4 atoms:
Zn 0.000 0.000 0.000
B 0.250 0.250 0.250
B 0.750 0.750 0.750
Pb 0.500 0.500 0.500

Properties
Its total energy is -3.0004 eV/atom. The calculation puts the offset from the most stable computed form at 574.2 meV per atom.

3.
Crystalline ZrB3Pb at its relaxed geometry. Source: the Alexandria database, functional PBE.

Cell lengths 4.556, 4.556, 4.556 Å; angles 90.00, 90.00, 90.00 degrees
Fractional coordinates of all 5 atoms:
Zr 0.000 0.000 0.000
B 0.000 0.000 0.500
B 0.000 0.500 0.000
B 0.500 0.000 0.000
Pb 0.500 0.500 0.500

Properties
Its total energy is -4.9900 eV/atom. The calculation puts the offset from the most stable computed form at 0.0 meV per atom.

4.
Crystalline Zr4BPb2 at its relaxed geometry. Source: the Alexandria database, functional PBE.

Cell lengths 8.332, 8.332, 8.332 Å; angles 148.07, 148.07, 45.78 degrees
Fractional coordinates of all 7 atoms:
Zr 0.000 0.500 0.500
Zr 0.154 0.154 0.000
Zr 0.500 0.000 0.500
Zr 0.846 0.846 0.000
B 0.000 0.000 0.000
Pb 0.354 0.354 0.000
Pb 0.646 0.646 0.000

Properties
Its total energy is -7.1937 eV/atom.

no.,E_form (eV/atom),total moment (μB/cell),Fermi-level density of states (states/eV per atom)
1,0.538,0.00,0.206
2,1.584,0.00,0.418
3,1.468,0.00,0.430
4,-0.296,0.00,0.945